The following is a DFT calculation (PBE) of a relaxed structure of TeMoP4.

Unit cell a=7.350 b=7.350 c=7.350 alpha=90.00 beta=90.00 gamma=90.00
Space group F-43m (No. 216)
One atom of each set of equivalent atoms:
Te  0.000  0.000  0.000 [4 per cell]
Mo  0.250  0.250  0.250 [4 per cell]
P  0.127  0.127  0.627 [16 per cell]

Computed properties:
- DOS(E_F) (states/eV/cell) = 16.32
- formation energy (no corrections) (eV/atom) = 0.8967



The following is a DFT calculation (PBE) of a relaxed structure of TeMo2P.

Unit cell a=3.184 b=3.184 c=6.488 alpha=90.00 beta=90.00 gamma=90.00
Space group P4/mmm (No. 123)
One atom of each set of equivalent atoms:
Te  0.000  0.000  0.000 [1 per cell]
Mo  0.500  0.500  0.295 [2 per cell]
P  0.000  0.000  0.500 [1 per cell]

Computed properties:
- DOS(E_F) (states/eV/cell) = 3.28
- excess energy over the best structure of this formula in the dataset (meV per atom) = 144
- formation energy (no corrections) (eV/atom) = 0.0192



The following is a DFT calculation (PBE) of a relaxed structure of TeMo2P.

Unit cell a=3.215 b=4.622 c=4.741 alpha=90.00 beta=90.00 gamma=90.00
Space group Pmm2 (No. 25)
One atom of each set of equivalent atoms:
Te  0.000  0.000  0.000 [1 per cell]
Mo  0.000  0.500  0.699 [1 per cell]
Mo  0.500  0.000  0.498 [1 per cell]
P  0.500  0.500  0.313 [1 per cell]

Computed properties:
- DOS(E_F) (states/eV/cell) = 2.87
- excess energy over the best structure of this formula in the dataset (meV per atom) = 130
- formation energy (no corrections) (eV/atom) = 0.0051



| no. | volume (Å³ per atom) | total magnetic moment (μB per cell) |
| --- | --- | --- |
| 1 | 16.5 | 6.4 |
| 2 | 16.4 | 0.0 |
| 3 | 17.6 | 0.0 |